Below is a relaxed structure of Li2Ga2Ag5, with properties calculated at the GGA-PBE level.

Results
The value obtained for the relative energy among the computed polymorphs is 0 meV/atom. The value obtained for the density of states at the Fermi level is 6.0 states/eV per cell. The value obtained for the density is 7.170 g/cm3. The calculation puts the total energy at -0.20351 Ry per atom. Its formation energy is -0.0869 eV/atom.

a b c (Å): 8.6389 5.9677 7.5753
angles (deg): 89.76 124.76 90.00
Closest atoms and distances in Å follow each position.
Sites, in units of the cell vectors:
Li 0.1430 0.2592 0.2912  6 Ag 2.71-2.84, 2 Ga 2.98-2.99
Ag 0.8307 0.0054 0.1591  2 Ga 2.70-2.74, 2 Li 2.73-2.74, 6 Ag 2.81-2.98
Ga 0.6310 0.2583 0.2652  6 Ag 2.70-2.76, 2 Li 2.98-2.99
Ag 0.6371 0.7597 0.7751  2 Li 2.73-2.74, 2 Ga 2.76-2.77, 6 Ag 2.80-2.98
Ag 0.2478 0.2725 0.9976  3 Ga 2.72-2.87, 5 Ag 2.76-2.98, 3 Li 2.80-2.89
Ag 0.4471 0.0134 0.3926  2 Ga 2.71-2.76, 2 Li 2.71-2.73, 6 Ag 2.80-2.98
Ag 0.2498 0.7725 0.9976  3 Ga 2.72-2.87, 5 Ag 2.76-2.98, 3 Li 2.80-2.89
Ag 0.6381 0.2597 0.7751  2 Li 2.73-2.74, 2 Ga 2.76-2.77, 6 Ag 2.80-2.98
Ga 0.3704 0.0129 0.7797  6 Ag 2.76-2.88, 2 Li 2.95-3.02
Li 0.9076 0.0070 0.7844  6 Ag 2.73-3.00, 2 Ga 2.95-3.02
Li 0.3768 0.5070 0.7844  6 Ag 2.73-3.00, 2 Ga 2.95-3.02
Ga 0.1342 0.7583 0.2652  6 Ag 2.70-2.76, 2 Li 2.98-2.99
Ag 0.4455 0.5134 0.3926  2 Ga 2.71-2.76, 2 Li 2.71-2.73, 6 Ag 2.80-2.98
Ga 0.9093 0.5129 0.7797  6 Ag 2.76-2.88, 2 Li 2.95-3.02
Ag 0.0400 0.7475 0.5550  3 Ga 2.74-2.88, 5 Ag 2.76-2.99, 3 Li 2.78-3.00
Ag 0.8285 0.5054 0.1591  2 Ga 2.70-2.74, 2 Li 2.73-2.74, 6 Ag 2.81-2.98
Ag 0.0151 0.2475 0.5550  3 Ga 2.74-2.88, 5 Ag 2.76-2.99, 3 Li 2.78-3.00
Li 0.6483 0.7592 0.2912  6 Ag 2.71-2.84, 2 Ga 2.98-2.99

Below is a relaxed structure of LiGa3Ag4, with properties calculated at the GGA-PBE level.

Results
The value obtained for the relative energy among the computed polymorphs is 0 meV/atom. The value obtained for the density of states at the Fermi level is 2.4 states/eV per cell. The value obtained for the density is 7.832 g/cm3. The calculation puts the total energy at -0.21180 Ry per atom. Its formation energy is -0.0818 eV/atom.

a b c (Å): 2.9769 5.0405 9.7192
angles (deg): 72.54 98.89 90.12
Closest atoms and distances in Å follow each position.
Sites, in units of the cell vectors:
Ga 0.5000 0.5000 0.0000  4 Ga 2.77-2.98, 4 Ag 2.83-2.84, 4 Li 2.92-2.93
Ag 0.7503 0.2482 0.4998  3 Ga 2.83-2.88, 9 Ag 2.91-2.98
Ag 0.1204 0.5643 0.2390  1 Li 2.65, 4 Ga 2.83-2.88, 3 Ag 2.93-2.94
Ga 0.6257 0.0449 0.2501  3 Ga 2.77-2.98, 7 Ag 2.83-2.99, 2 Li 2.89
Ga 0.3743 0.9551 0.7499  3 Ga 2.77-2.98, 7 Ag 2.83-2.99, 2 Li 2.89
Li 0.0000 0.0000 0.0000  2 Ag 2.65, 8 Ga 2.89-2.93
Ag 0.2497 0.7518 0.5002  3 Ga 2.83-2.88, 9 Ag 2.91-2.98
Ag 0.8796 0.4357 0.7610  1 Li 2.65, 4 Ga 2.83-2.88, 3 Ag 2.93-2.94

Below is a relaxed structure of Li2Ga8Ag3, with properties calculated at the GGA-PBE level.

Results
The value obtained for the density of states at the Fermi level is 3.5 states/eV per cell. The value obtained for the density is 6.346 g/cm3. The calculation puts the total energy at -0.21105 Ry per atom. Its formation energy is -0.0563 eV/atom.

a b c (Å): 5.3777 7.3978 6.9822
angles (deg): 121.99 95.13 90.00
Closest atoms and distances in Å follow each position.
Sites, in units of the cell vectors:
Ga 0.2121 0.8037 0.6074  2 Li 2.58-2.80, 1 Ag 2.65, 1 Ga 2.65
Ga 0.0802 0.3914 0.7828  1 Li 2.65, 4 Ga 2.65-2.88, 2 Ag 2.69
Li 0.7328 0.8069 0.6137  7 Ga 2.58-2.82, 1 Ag 2.72
Ga 0.5458 0.5576 0.7446  2 Li 2.68-2.82, 4 Ga 2.74-3.00, 2 Ag 2.80-2.89
Ga 0.9198 0.6086 0.2172  1 Li 2.65, 4 Ga 2.65-2.88, 2 Ag 2.69
Ag 0.0000 0.1897 0.0000  4 Ga 2.69-2.89, 1 Ag 2.81, 2 Li 2.93
Li 0.2672 0.1931 0.3863  7 Ga 2.58-2.82, 1 Ag 2.72
Ga 0.4542 0.4424 0.2554  2 Li 2.68-2.82, 4 Ga 2.74-3.00, 2 Ag 2.80-2.89
Ga 0.7879 0.1963 0.3926  2 Li 2.58-2.80, 1 Ag 2.65, 1 Ga 2.65
Ga 0.5458 0.1870 0.7446  2 Li 2.68-2.82, 4 Ga 2.74-3.00, 2 Ag 2.80-2.89
Ag 0.0000 0.8103 0.0000  4 Ga 2.69-2.89, 1 Ag 2.81, 2 Li 2.93
Ag 0.5000 0.0000 0.0000  6 Ga 2.65-2.80, 2 Li 2.72
Ga 0.4542 0.8130 0.2554  2 Li 2.68-2.82, 4 Ga 2.74-3.00, 2 Ag 2.80-2.89

Below is a relaxed structure of LiGa2Ag5, with properties calculated at the GGA-PBE level.

Results
The value obtained for the relative energy among the computed polymorphs is 20 meV/atom. The value obtained for the density of states at the Fermi level is 4.2 states/eV per cell. The value obtained for the density is 8.273 g/cm3. The calculation puts the total energy at -0.20789 Ry per atom. Its formation energy is -0.0505 eV/atom.

a b c (Å): 4.4141 5.1574 13.3782
angles (deg): 90.00 90.00 115.34
Closest atoms and distances in Å follow each position.
Sites, in units of the cell vectors:
Ag 0.3624 0.7248 0.4488  3 Ga 2.66-2.87, 4 Ag 2.89-2.95, 1 Li 2.90
Ag 0.6376 0.2752 0.5512  3 Ga 2.66-2.87, 4 Ag 2.89-2.95, 1 Li 2.90
Li 0.7604 0.5208 0.7500  5 Ag 2.62-2.90, 4 Ga 2.66
Ag 0.0600 0.1200 0.4011  1 Li 2.62, 1 Ga 2.75, 2 Ag 2.87-2.89
Ga 0.2289 0.4578 0.8581  2 Li 2.66, 5 Ag 2.66-2.87, 1 Ga 2.89
Ga 0.2289 0.4578 0.6419  2 Li 2.66, 5 Ag 2.66-2.87, 1 Ga 2.89
Ga 0.7711 0.5422 0.3581  2 Li 2.66, 5 Ag 2.66-2.87, 1 Ga 2.89
Ag 0.0600 0.1200 0.0989  1 Li 2.62, 1 Ga 2.75, 2 Ag 2.87-2.89
Ag 0.9400 0.8800 0.5989  1 Li 2.62, 1 Ga 2.75, 2 Ag 2.87-2.89
Ag 0.4766 0.9533 0.7500  1 Li 2.65, 2 Ga 2.73
Ag 0.5234 0.0467 0.2500  1 Li 2.65, 2 Ga 2.73
Ga 0.7711 0.5422 0.1419  2 Li 2.66, 5 Ag 2.66-2.87, 1 Ga 2.89
Ag 0.6376 0.2752 0.9488  3 Ga 2.66-2.87, 4 Ag 2.89-2.95, 1 Li 2.90
Li 0.2396 0.4792 0.2500  5 Ag 2.62-2.90, 4 Ga 2.66
Ag 0.3624 0.7248 0.0512  3 Ga 2.66-2.87, 4 Ag 2.89-2.95, 1 Li 2.90
Ag 0.9400 0.8800 0.9011  1 Li 2.62, 1 Ga 2.75, 2 Ag 2.87-2.89

Below is a relaxed structure of Li3GaAg6, with properties calculated at the GGA-PBE level.

Results
The value obtained for the relative energy among the computed polymorphs is 36 meV/atom. The value obtained for the density of states at the Fermi level is 6.0 states/eV per cell. The value obtained for the density is 6.912 g/cm3. The calculation puts the total energy at -0.19854 Ry per atom. Its formation energy is -0.1137 eV/atom.

a b c (Å): 7.2110 7.2110 7.2110
angles (deg): 100.25 100.25 100.25
Closest atoms and distances in Å follow each position.
Sites, in units of the cell vectors:
Ag 0.9998 0.2574 0.7428  4 Li 2.79-2.98, 6 Ag 2.83-3.01, 1 Ga 2.85
Ag 0.0002 0.7426 0.2572  4 Li 2.79-2.98, 6 Ag 2.83-3.01, 1 Ga 2.85
Ag 0.5962 0.1777 0.5967  7 Ag 2.69-3.01, 1 Ga 2.71
Ag 0.4038 0.8223 0.4033  7 Ag 2.69-3.01, 1 Ga 2.71
Li 0.4239 0.1604 0.1614  5 Ag 2.79-3.12, 2 Li 2.91, 2 Ga 3.01-3.03
Ag 0.4033 0.4038 0.8223  7 Ag 2.69-3.01, 1 Ga 2.71
Li 0.8396 0.8386 0.5761  5 Ag 2.79-3.12, 2 Li 2.91, 2 Ga 3.01-3.03
Ag 0.5967 0.5962 0.1777  7 Ag 2.69-3.01, 1 Ga 2.71
Ag 0.2574 0.7428 0.9998  4 Li 2.79-2.98, 6 Ag 2.83-3.01, 1 Ga 2.85
Ag 0.7428 0.9998 0.2574  4 Li 2.79-2.98, 6 Ag 2.83-3.01, 1 Ga 2.85
Ag 0.7426 0.2572 0.0002  4 Li 2.79-2.98, 6 Ag 2.83-3.01, 1 Ga 2.85
Li 0.1604 0.1614 0.4239  5 Ag 2.79-3.12, 2 Li 2.91, 2 Ga 3.01-3.03
Ga 0.5000 0.5000 0.5000  6 Ag 2.71, 6 Li 3.03
Ag 0.8223 0.4033 0.4038  7 Ag 2.69-3.01, 1 Ga 2.71
Li 0.1614 0.4239 0.1604  5 Ag 2.79-3.12, 2 Li 2.91, 2 Ga 3.01-3.03
Li 0.8386 0.5761 0.8396  5 Ag 2.79-3.12, 2 Li 2.91, 2 Ga 3.01-3.03
Ga 0.0000 0.0000 0.0000  6 Ag 2.85, 6 Li 3.01
Ag 0.2572 0.0002 0.7426  4 Li 2.79-2.98, 6 Ag 2.83-3.01, 1 Ga 2.85
Ag 0.1777 0.5967 0.5962  7 Ag 2.69-3.01, 1 Ga 2.71
Li 0.5761 0.8396 0.8386  5 Ag 2.79-3.12, 2 Li 2.91, 2 Ga 3.01-3.03

Below is a relaxed structure of Li2Ga2Ag, with properties calculated at the GGA-PBE level.

Results
The value obtained for the relative energy among the computed polymorphs is 61 meV/atom. The value obtained for the density of states at the Fermi level is 2.6 states/eV per cell. The value obtained for the density is 5.327 g/cm3. The calculation puts the total energy at -0.20214 Ry per atom. Its formation energy is -0.2038 eV/atom.

a b c (Å): 7.0410 7.0410 3.2848
angles (deg): 90.00 90.00 90.00
Closest atoms and distances in Å follow each position.
Sites, in units of the cell vectors:
Li 0.6672 0.8328 0.5000  6 Ga 2.59-2.68
Li 0.8328 0.3328 0.5000  6 Ga 2.59-2.68
Ga 0.1316 0.3684 0.0000  6 Li 2.59-2.68, 1 Ga 2.62, 2 Ag 2.75
Li 0.1672 0.6672 0.5000  6 Ga 2.59-2.68
Ga 0.8684 0.6316 0.0000  6 Li 2.59-2.68, 1 Ga 2.62, 2 Ag 2.75
Ga 0.6316 0.1316 0.0000  6 Li 2.59-2.68, 1 Ga 2.62, 2 Ag 2.75
Li 0.3328 0.1672 0.5000  6 Ga 2.59-2.68
Ag 0.5000 0.5000 0.0000  4 Ga 2.75
Ga 0.3684 0.8684 0.0000  6 Li 2.59-2.68, 1 Ga 2.62, 2 Ag 2.75
Ag 0.0000 0.0000 0.0000  4 Ga 2.75

Below is a relaxed structure of LiGa2Ag, with properties calculated at the GGA-PBE level.

Results
The value obtained for the relative energy among the computed polymorphs is 189 meV/atom. The value obtained for the density of states at the Fermi level is 1.3 states/eV per cell. The value obtained for the density is 5.325 g/cm3. The calculation puts the total energy at -0.19842 Ry per atom. Its formation energy is 0.0051 eV/atom.

a b c (Å): 6.6126 6.6126 6.6126
angles (deg): 46.91 153.40 142.08
Closest atoms and distances in Å follow each position.
Sites, in units of the cell vectors:
Ga 0.0000 0.7127 0.7127  1 Ag 2.58, 4 Ga 2.78
Ag 0.0000 0.5000 0.5000  2 Ga 2.58, 4 Li 2.63
Ga 0.0000 0.2873 0.2873  1 Ag 2.58, 4 Ga 2.78
Li 0.0000 0.0000 0.0000  4 Ag 2.63

Below is a relaxed structure of Li3Ga3Ag5, with properties calculated at the GGA-PBE level.

Results
The value obtained for the density of states at the Fermi level is 3.6 states/eV per cell. The value obtained for the density is 6.304 g/cm3. The calculation puts the total energy at -0.18927 Ry per atom. Its formation energy is 0.0683 eV/atom.

a b c (Å): 2.8030 9.1369 9.1369
angles (deg): 120.00 90.00 90.00
Closest atoms and distances in Å follow each position.
Sites, in units of the cell vectors:
Ag 0.5000 0.0000 0.3257  2 Li 2.58, 2 Ga 2.71, 2 Ag 2.80
Li 0.5000 0.0000 0.8246  2 Ag 2.58, 2 Ga 2.64, 4 Li 2.78-2.80
Ag 0.5000 0.3257 0.0000  2 Li 2.58, 2 Ga 2.71, 2 Ag 2.80
Ag 0.5000 0.3333 0.6667  5 Ag 2.80-3.08, 6 Ga 3.07
Ga 0.0000 0.0000 0.5796  2 Li 2.64, 2 Ag 2.71, 2 Ga 2.80
Ga 0.0000 0.4204 0.4204  2 Li 2.64, 2 Ag 2.71, 2 Ga 2.80
Li 0.5000 0.1754 0.1754  2 Ag 2.58, 2 Ga 2.64, 4 Li 2.78-2.80
Ag 0.5000 0.6743 0.6743  2 Li 2.58, 2 Ga 2.71, 2 Ag 2.80
Ga 0.0000 0.5796 0.0000  2 Li 2.64, 2 Ag 2.71, 2 Ga 2.80
Li 0.5000 0.8246 0.0000  2 Ag 2.58, 2 Ga 2.64, 4 Li 2.78-2.80
Ag 0.5000 0.6667 0.3333  5 Ag 2.80-3.08, 6 Ga 3.07

Below is a relaxed structure of Li5Ga2Ag5, with properties calculated at the GGA-PBE level.

Results
The value obtained for the density of states at the Fermi level is 4.2 states/eV per cell. The value obtained for the density is 6.103 g/cm3. The calculation puts the total energy at -0.19956 Ry per atom. Its formation energy is -0.2253 eV/atom.

a b c (Å): 4.4974 5.2821 9.5453
angles (deg): 107.04 90.00 115.20
Closest atoms and distances in Å follow each position.
Sites, in units of the cell vectors:
Li 0.5000 0.0000 0.5000  6 Ag 2.69-2.70, 2 Li 2.77
Ag 0.2608 0.5215 0.2540  4 Li 2.67-2.77, 2 Ga 2.73, 2 Ag 2.86
Ag 0.7392 0.4785 0.7460  4 Li 2.67-2.77, 2 Ga 2.73, 2 Ag 2.86
Li 0.3284 0.6569 0.0037  3 Ag 2.67-2.79, 4 Li 2.69-2.84, 1 Ga 2.74
Li 0.4091 0.8183 0.7474  3 Ag 2.77, 3 Li 2.77-2.84, 2 Ga 2.77
Ga 0.9190 0.8380 0.2425  5 Ag 2.67-2.77, 3 Li 2.74-2.77
Ag 0.0000 0.0000 0.0000  2 Ga 2.67, 4 Li 2.79, 2 Ag 2.86
Ga 0.0810 0.1620 0.7575  5 Ag 2.67-2.77, 3 Li 2.74-2.77
Li 0.5909 0.1817 0.2526  3 Ag 2.77, 3 Li 2.77-2.84, 2 Ga 2.77
Ag 0.1559 0.3118 0.5028  3 Li 2.69-2.77, 2 Ga 2.75-2.77, 4 Ag 2.86-2.96
Li 0.6716 0.3431 0.9963  3 Ag 2.67-2.79, 4 Li 2.69-2.84, 1 Ga 2.74
Ag 0.8441 0.6882 0.4972  3 Li 2.69-2.77, 2 Ga 2.75-2.77, 4 Ag 2.86-2.96

Below is a relaxed structure of Li3Ga2Ag, with properties calculated at the GGA-PBE level.

Results
The value obtained for the relative energy among the computed polymorphs is 67 meV/atom. The value obtained for the density of states at the Fermi level is 2.6 states/eV per cell. The value obtained for the density is 4.764 g/cm3. The calculation puts the total energy at -0.19734 Ry per atom. Its formation energy is -0.2438 eV/atom.

a b c (Å): 5.1839 5.1839 7.0976
angles (deg): 96.41 96.41 96.21
Closest atoms and distances in Å follow each position.
Sites, in units of the cell vectors:
Ga 0.1284 0.6244 0.8736  2 Ga 2.65-2.71, 8 Li 2.85-2.95, 3 Ag 2.89-2.96
Li 0.6680 0.8327 0.0005  3 Li 2.58-2.68, 2 Ag 2.61-2.68, 2 Ga 2.89
Ag 0.0861 0.9139 0.2500  5 Li 2.59-2.68, 2 Ga 2.89
Ga 0.8716 0.3756 0.1264  2 Ga 2.65-2.71, 8 Li 2.85-2.95, 3 Ag 2.89-2.96
Li 0.8327 0.6680 0.5005  3 Li 2.58-2.68, 2 Ag 2.61-2.68, 2 Ga 2.89
Li 0.1673 0.3320 0.4995  3 Li 2.58-2.68, 2 Ag 2.61-2.68, 2 Ga 2.89
Ga 0.6244 0.1284 0.3736  2 Ga 2.65-2.71, 8 Li 2.85-2.95, 3 Ag 2.89-2.96
Li 0.4215 0.5785 0.2500  4 Li 2.58-2.68, 1 Ag 2.59, 2 Ga 2.85
Ag 0.9139 0.0861 0.7500  5 Li 2.59-2.68, 2 Ga 2.89
Li 0.5785 0.4215 0.7500  4 Li 2.58-2.68, 1 Ag 2.59, 2 Ga 2.85
Ga 0.3756 0.8716 0.6264  2 Ga 2.65-2.71, 8 Li 2.85-2.95, 3 Ag 2.89-2.96
Li 0.3320 0.1673 0.9995  3 Li 2.58-2.68, 2 Ag 2.61-2.68, 2 Ga 2.89